An optimized crystal structure of BeCd2H, computed with PBE-GGA.

The space group is I-42d (No. 122) and the conventional cell measures 5.562, 5.562 and 9.051 Å, with angles of 90.00, 90.00 and 90.00 degrees. The inequivalent atoms are Be at (0.000, 0.000, 0.000), Cd at (0.199, 0.250, 0.625) and H at (0.000, 0.000, 0.500).

The size of the total moment comes out at 0.0 μB per cell. Its crystal system is tetragonal. The density of states at the Fermi level comes out at 1.2 states/eV/f.u. The calculation puts the total energy at -1.60 eV/atom.